PBE Pr3SI3, optimized geometry; formation energy from raw total energies = -1446 meV/atom
1.0
-4.867 -5.404 -0.846
1.124 -5.182 -5.050
4.442 -9.869 5.807
Pr I S
6 6 2
Direct
0.298 0.613 0.133 Pr
0.702 0.387 0.867 Pr
0.613 0.956 0.133 Pr
0.044 0.702 0.867 Pr
0.387 0.044 0.867 Pr
0.956 0.298 0.133 Pr
0.775 0.106 0.683 I
0.436 0.775 0.683 I
0.106 0.436 0.683 I
0.225 0.894 0.317 I
0.564 0.225 0.317 I
0.894 0.564 0.317 I
0.667 0.667 0.000 S
0.333 0.333 0.000 S